Material: VIn2O5
Method: DFT, GGA-PBEsol
State: optimized geometry

Geometry as CIF:
```
data_VIn2O5
_space_group_name_H-M_alt 'P n m a'
_space_group_IT_number 62
_cell_length_a 7.273
_cell_length_b 3.450
_cell_length_c 14.897
_cell_angle_alpha 90.00
_cell_angle_beta 90.00
_cell_angle_gamma 90.00
loop_
_space_group_symop_operation_xyz
'x,y,z'
'-x,-y,-z'
'-x+1/2,-y,z+1/2'
'x+1/2,y,-z+1/2'
'x+1/2,-y+1/2,-z+1/2'
'-x+1/2,y+1/2,z+1/2'
'-x,y+1/2,-z'
'x,-y+1/2,z'
loop_
_atom_site_label
_atom_site_type_symbol
_atom_site_fract_x
_atom_site_fract_y
_atom_site_fract_z
_atom_site_occupancy
V1 V 0.106 0.250 0.076 1
In1 In 0.100 0.250 0.417 1
In2 In 0.173 0.250 0.761 1
O1 O 0.059 0.750 0.324 1
O2 O 0.067 0.750 0.047 1
O3 O 0.129 0.750 0.850 1
O4 O 0.158 0.750 0.506 1
O5 O 0.234 0.250 0.177 1
```

Values from the calculation:
Density, g cm⁻³: 6.4
V, A^3/atom: 11.68
Calculated total energy, eV per formula unit: -56.99